# 1
{"formula": "Zn2TeSe", "functional": "PBEsol", "state": "optimized geometry", "lattice_angstrom": [[5.8522, 0.0000, 0.0000], [0.0000, 5.8522, 0.0000], [-2.9261, -2.9261, 5.8416]], "species": ["Zn", "Zn", "Zn", "Zn", "Te", "Te", "Se", "Se"], "fractional_positions": [[0.8513, 0.3750, 0.2500], [0.6250, 0.6013, 0.7500], [0.1250, 0.1487, 0.7500], [0.3987, 0.8750, 0.2500], [0.0000, 0.0000, 0.0000], [0.2500, 0.7500, 0.5000], [0.5000, 0.5000, 0.0000], [0.7500, 0.2500, 0.5000]], "e_above_lowest_polymorph_mev_per_atom": 0}

---

# 2
{"formula": "ZnTe2Se", "functional": "PBEsol", "state": "optimized geometry", "lattice_angstrom": [[-1.0483, -1.8464, -3.2462], [3.5809, -1.4542, -0.3292], [-3.3341, -4.3676, 5.8784]], "species": ["Se", "Zn", "Te", "Te"], "fractional_positions": [[0.2500, 0.7500, 0.5000], [0.5000, 0.5000, 0.0000], [0.0000, 0.0000, 0.0000], [0.7500, 0.2500, 0.5000]]}

---

# 3
{"formula": "ZrTeSe2", "functional": "PBEsol", "state": "optimized geometry", "lattice_angstrom": [[-3.9705, -2.7395, 1.0270], [-0.8459, -4.1568, -2.5158], [0.5282, -4.3744, 2.2158]], "species": ["Se", "Se", "Zr", "Te"], "fractional_positions": [[0.7500, 0.7500, 0.7500], [0.0000, 0.0000, 0.0000], [0.2500, 0.2500, 0.2500], [0.5000, 0.5000, 0.5000]]}

---

Formation energy (no corrections) readings, ordered: -0.5249, 0.1454, -0.2795 eV/atom
Total energy readings, ordered: -3.160, -2.976, -5.359 eV/atom